Computed, not measured: an optimized crystal structure of Nd4TmIn5 at the PBE level of DFT.

Lattice parameters (Å, degrees): 3.8225 3.8225 19.4485 90.00 90.00 90.00
Last column: nearest neighbours and their distance in Å.
Fractional positions:
In1 0.5000 0.5000 0.5000  8 Nd 3.35
Nd1 0.0000 0.0000 0.1932  8 In 3.36-3.37, 1 Tm 3.76
In2 0.5000 0.5000 0.9101  4 Tm 3.22, 4 Nd 3.37, 1 In 3.50
Nd2 0.0000 0.0000 0.3979  8 In 3.35-3.36
Nd3 0.0000 0.0000 0.8068  8 In 3.36-3.37, 1 Tm 3.76
In3 0.5000 0.5000 0.0899  4 Tm 3.22, 4 Nd 3.37, 1 In 3.50
Nd4 0.0000 0.0000 0.6021  8 In 3.35-3.36
In4 0.5000 0.5000 0.7045  8 Nd 3.36
In5 0.5000 0.5000 0.2955  8 Nd 3.36
Tm1 0.0000 0.0000 0.0000  8 In 3.22

DOS(E_F): 5.419 states/eV/f.u.
Total magnetic moment: 0.0 μB/f.u.
Energy relative to the elements: -0.48 eV/atom

=====

Computed, not measured: an optimized crystal structure of NdTm7In4 at the PBE level of DFT.

Lattice parameters (Å, degrees): 5.6071 9.1887 7.7068 75.63 68.67 72.24
Last column: nearest neighbours and their distance in Å.
Fractional positions:
In1 0.6817 0.6663 0.9704  6 Tm 2.96-3.27, 1 In 3.07
Tm1 0.9363 0.3975 0.7299  3 In 3.13-3.25, 2 Tm 3.35-3.50
Nd1 0.0000 0.0000 0.0000  2 Tm 2.80
Tm2 0.0637 0.6025 0.2701  3 In 3.13-3.25, 2 Tm 3.35-3.50
Tm3 0.2834 0.6564 0.7769  4 In 2.97-3.14
In2 0.5628 0.2378 0.6366  6 Tm 2.97-3.32, 1 In 3.07
In3 0.4372 0.7622 0.3634  6 Tm 2.97-3.32, 1 In 3.07
Tm4 0.7166 0.3436 0.2231  4 In 2.97-3.14
Tm5 0.2127 0.1249 0.4496  4 In 3.27-3.33, 6 Tm 3.35-3.63
Tm6 0.5000 0.0000 0.0000  2 Nd 2.80, 4 In 2.96-3.08
In4 0.3183 0.3337 0.0296  6 Tm 2.96-3.27, 1 In 3.07
Tm7 0.7873 0.8751 0.5504  4 In 3.27-3.33, 6 Tm 3.35-3.63

DOS(E_F): 11.352 states/eV/f.u.
Total magnetic moment: 0.0 μB/f.u.
Energy relative to the elements: -0.07 eV/atom

=====

Computed, not measured: an optimized crystal structure of Nd3Tm12In at the PBE level of DFT.

Lattice parameters (Å, degrees): 4.9344 4.9344 19.9362 90.00 90.00 90.00
Last column: nearest neighbours and their distance in Å.
Fractional positions:
Nd1 0.0000 0.0000 0.7520  12 Tm 3.49-3.56
Tm1 0.0000 0.5000 0.8806  2 In 3.43, 8 Tm 3.43-3.49, 2 Nd 3.56
Tm2 0.5000 0.5000 0.5000  4 Nd 3.49, 8 Tm 3.54
Tm3 0.5000 0.0000 0.8806  2 In 3.43, 8 Tm 3.43-3.49, 2 Nd 3.56
Tm4 0.5000 0.0000 0.1194  2 In 3.43, 8 Tm 3.43-3.49, 2 Nd 3.56
Tm5 0.5000 0.0000 0.3729  8 Tm 3.49-3.58, 4 Nd 3.51-3.54
In1 0.0000 0.0000 0.0000  12 Tm 3.43-3.49
Tm6 0.0000 0.5000 0.3729  8 Tm 3.49-3.58, 4 Nd 3.51-3.54
Tm7 0.0000 0.5000 0.6271  8 Tm 3.49-3.58, 4 Nd 3.51-3.54
Tm8 0.5000 0.0000 0.6271  8 Tm 3.49-3.58, 4 Nd 3.51-3.54
Nd2 0.0000 0.0000 0.2480  12 Tm 3.49-3.56
Tm9 0.0000 0.5000 0.1194  2 In 3.43, 8 Tm 3.43-3.49, 2 Nd 3.56
Tm10 0.5000 0.5000 0.0000  8 Tm 3.43, 4 In 3.49
Tm11 0.5000 0.5000 0.7574  8 Tm 3.48-3.58, 4 Nd 3.49
Nd3 0.0000 0.0000 0.5000  12 Tm 3.49-3.54
Tm12 0.5000 0.5000 0.2426  8 Tm 3.48-3.58, 4 Nd 3.49

DOS(E_F): 20.381 states/eV/f.u.
Total magnetic moment: 0.0 μB/f.u.
Energy relative to the elements: -0.03 eV/atom